Material: CaW3Se
Method: DFT, PBE-GGA
State: relaxed

Properties
E_form (uncorrected): 1331.9 meV/atom

```
data_CaW3Se
_chemical_formula_sum 'Ca1 W3 Se1'
_space_group_name_H-M_alt 'P m -3 m'
_space_group_IT_number 221
_space_group_name_Hall '-P 4 2 3'
_cell_length_a 4.709
_cell_length_b 4.709
_cell_length_c 4.709
_cell_angle_alpha 90.00
_cell_angle_beta 90.00
_cell_angle_gamma 90.00
loop_
_atom_site_label
_atom_site_fract_x
_atom_site_fract_y
_atom_site_fract_z
Ca1 0.000 0.000 0.000
W1 0.000 0.500 0.500
Se1 0.500 0.500 0.500
```

---

Material: LaTe2PdPb
Method: DFT, PBE-GGA
State: relaxed

Properties
E_form (uncorrected): 431.0 meV/atom

```
data_LaTe2PdPb
_chemical_formula_sum 'La1 Te2 Pd1 Pb1'
_space_group_name_H-M_alt 'P 4/m m m'
_space_group_IT_number 123
_space_group_name_Hall '-P 4 2'
_cell_length_a 6.046
_cell_length_b 6.046
_cell_length_c 6.317
_cell_angle_alpha 90.00
_cell_angle_beta 90.00
_cell_angle_gamma 90.00
loop_
_atom_site_label
_atom_site_fract_x
_atom_site_fract_y
_atom_site_fract_z
La1 0.000 0.000 0.000
Te1 0.000 0.500 0.000
Pd1 0.500 0.500 0.500
Pb1 0.000 0.000 0.500
```

---

Material: Nd4Tm6Th
Method: DFT, PBE-GGA
State: relaxed

Properties
energy of formation: 124 meV/atom

```
data_Nd4Tm6Th
_chemical_formula_sum 'Nd16 Tm24 Th4'
_space_group_name_H-M_alt 'C m c m'
_space_group_IT_number 63
_space_group_name_Hall '-C 2c 2'
_cell_length_a 5.708
_cell_length_b 9.686
_cell_length_c 25.776
_cell_angle_alpha 90.00
_cell_angle_beta 90.00
_cell_angle_gamma 90.00
loop_
_atom_site_label
_atom_site_fract_x
_atom_site_fract_y
_atom_site_fract_z
Nd1 0.000 0.018 0.124
Nd2 0.000 0.339 0.044
Tm1 0.000 0.000 0.000
Tm2 0.000 0.017 0.250
Tm3 0.000 0.320 0.603
Tm4 0.000 0.350 0.184
Th1 0.000 0.318 0.750
```

---

Material: NaSiRuO6
Method: DFT, PBE-GGA
State: relaxed

Properties
E_form (uncorrected): -1451.5 meV/atom

```
data_NaSiRuO6
_chemical_formula_sum 'Na1 Si1 Ru1 O6'
_space_group_name_H-M_alt 'P 3 1 2'
_space_group_IT_number 149
_cell_length_a 4.9366
_cell_length_b 4.9366
_cell_length_c 5.2341
_cell_angle_alpha 90.00
_cell_angle_beta 90.00
_cell_angle_gamma 120.00
loop_
_space_group_symop_operation_xyz
'x,y,z'
'-y,x-y,z'
'-x+y,-x,z'
'-y,-x,-z'
'-x+y,y,-z'
'x,x-y,-z'
loop_
_atom_site_label
_atom_site_fract_x
_atom_site_fract_y
_atom_site_fract_z
Na1 0.0000 0.0000 0.0000
Si1 0.6667 0.3333 0.5000
Ru1 0.3333 0.6667 0.5000
O1 0.3895 0.0176 0.6955
```

---

Material: LiBi3Se
Method: DFT, PBE-GGA
State: relaxed

Properties
E_form (uncorrected): 350.1 meV/atom

```
data_LiBi3Se
_chemical_formula_sum 'Li1 Bi3 Se1'
_space_group_name_H-M_alt 'P m -3 m'
_space_group_IT_number 221
_space_group_name_Hall '-P 4 2 3'
_cell_length_a 5.649
_cell_length_b 5.649
_cell_length_c 5.649
_cell_angle_alpha 90.00
_cell_angle_beta 90.00
_cell_angle_gamma 90.00
loop_
_atom_site_label
_atom_site_fract_x
_atom_site_fract_y
_atom_site_fract_z
Li1 0.000 0.000 0.000
Bi1 0.000 0.500 0.500
Se1 0.500 0.500 0.500
```

---

Material: Ac2Zn4AgSn3
Method: DFT, PBE-GGA
State: relaxed

Properties
energy of formation: -395 meV/atom

```
data_Ac2Zn4AgSn3
_chemical_formula_sum 'Ac2 Zn4 Ag1 Sn3'
_space_group_name_H-M_alt 'P -4 m 2'
_space_group_IT_number 115
_cell_length_a 4.651
_cell_length_b 4.651
_cell_length_c 11.116
_cell_angle_alpha 90.00
_cell_angle_beta 90.00
_cell_angle_gamma 90.00
loop_
_space_group_symop_operation_xyz
'x,y,z'
'y,-x,-z'
'-x,-y,z'
'-y,x,-z'
'-x,y,z'
'-y,-x,-z'
'x,-y,z'
'y,x,-z'
loop_
_atom_site_label
_atom_site_fract_x
_atom_site_fract_y
_atom_site_fract_z
Ac1 0.000 0.500 0.249
Zn1 0.000 0.000 0.000
Zn2 0.000 0.500 0.627
Zn3 0.500 0.500 0.000
Ag1 0.000 0.000 0.500
Sn1 0.000 0.500 0.866
Sn2 0.500 0.500 0.500
```

---

Material: BaSN2
Method: DFT, PBE-GGA
State: relaxed

Properties
E_form (uncorrected): 146.6 meV/atom

```
data_BaSN2
_chemical_formula_sum 'Ba3 S3 N6'
_space_group_name_H-M_alt 'R -3 m'
_space_group_IT_number 166
_space_group_name_Hall '-R 3 2"'
_cell_length_a 4.5023
_cell_length_b 4.5023
_cell_length_c 17.0796
_cell_angle_alpha 90.00
_cell_angle_beta 90.00
_cell_angle_gamma 120.00
loop_
_atom_site_label
_atom_site_fract_x
_atom_site_fract_y
_atom_site_fract_z
Ba1 0.0000 0.0000 0.0000
S1 0.0000 0.0000 0.5000
N1 0.0000 0.0000 0.4086
```

---

These records have DOS(E_F) values of 3.63, 3.16, 68.62, 2.73, 6.52, 4.14, 0.00 states/eV per cell, in the order they appear.